#one
Below is a relaxed CoAuBr crystal, with properties calculated at the PBEsol level.

The structure in CIF format:
```
data_CoAuBr
_cell_length_a 6.297
_cell_length_b 6.297
_cell_length_c 6.297
_cell_angle_alpha 90.00
_cell_angle_beta 90.00
_cell_angle_gamma 90.00
_symmetry_space_group_name_H-M 'F -4 3 m'
_symmetry_Int_Tables_number 216
_symmetry_space_group_name_Hall 'F -4 2 3'
loop_
_atom_site_label
_atom_site_type_symbol
_atom_site_fract_x
_atom_site_fract_y
_atom_site_fract_z
Co1 Co 0.000 0.000 0.000
Au1 Au 0.250 0.250 0.250
Br1 Br 0.000 0.000 0.500
```

=====

#two
Below is a relaxed CoAuBr crystal, with properties calculated at the PBEsol level.

The structure in CIF format:
```
data_CoAuBr
_cell_length_a 6.058
_cell_length_b 6.058
_cell_length_c 6.058
_cell_angle_alpha 90.00
_cell_angle_beta 90.00
_cell_angle_gamma 90.00
_symmetry_space_group_name_H-M 'F -4 3 m'
_symmetry_Int_Tables_number 216
_symmetry_space_group_name_Hall 'F -4 2 3'
loop_
_atom_site_label
_atom_site_type_symbol
_atom_site_fract_x
_atom_site_fract_y
_atom_site_fract_z
Co1 Co 0.000 0.000 0.000
Au1 Au 0.250 0.250 0.250
Br1 Br 0.250 0.250 0.750
```

=====

Most favorable first, least favorable last: #two, #one

=====

#one
Below is a relaxed Co2AuBr crystal, with properties calculated at the PBEsol level.

The structure in CIF format:
```
data_Co2AuBr
_cell_length_a 4.409
_cell_length_b 4.409
_cell_length_c 3.012
_cell_angle_alpha 90.00
_cell_angle_beta 90.00
_cell_angle_gamma 90.00
_symmetry_space_group_name_H-M 'P 4/m m m'
_symmetry_Int_Tables_number 123
_symmetry_space_group_name_Hall '-P 4 2'
loop_
_atom_site_label
_atom_site_type_symbol
_atom_site_fract_x
_atom_site_fract_y
_atom_site_fract_z
Co1 Co 0.000 0.500 0.000
Au1 Au 0.000 0.000 0.500
Br1 Br 0.500 0.500 0.500
```

=====

#two
Below is a relaxed Co2AuBr crystal, with properties calculated at the PBEsol level.

The structure in CIF format:
```
data_Co2AuBr
_cell_length_a 3.2417
_cell_length_b 3.2417
_cell_length_c 21.6251
_cell_angle_alpha 90.00
_cell_angle_beta 90.00
_cell_angle_gamma 120.00
_symmetry_space_group_name_H-M 'R 3 m'
_symmetry_Int_Tables_number 160
_symmetry_space_group_name_Hall 'R 3 -2"'
loop_
_atom_site_label
_atom_site_type_symbol
_atom_site_fract_x
_atom_site_fract_y
_atom_site_fract_z
Co1 Co 0.0000 0.0000 0.0000
Co2 Co 0.0000 0.0000 0.2770
Au1 Au 0.0000 0.0000 0.5290
Br1 Br 0.0000 0.0000 0.7449
```

=====

Most favorable first, least favorable last: #two, #one